1.
First-principles (PBE) data for Cu2Tc after structural relaxation, as listed in the Alexandria database.

Values from the calculation:
For the energy above the most stable polymorph in this dataset, the calculation gives 0.0401 eV/atom. For the formation energy from the elements, the calculation gives 4.47 kcal/mol of atoms.

a = 2.6354 Å, b = 2.6354 Å, c = 6.5244 Å
α = 90.00°, β = 90.00°, γ = 120.00°
Space group P-3m1 (No. 164)
Unique sites:
1 Cu 0.3333 0.6667 0.1591
2 Tc 0.0000 0.0000 0.5000

***

2.
First-principles (PBE) data for Cu2Tc after structural relaxation, as listed in the Alexandria database.

Values from the calculation:
For the energy above the most stable polymorph in this dataset, the calculation gives 1.1527 eV/atom. For the formation energy from the elements, the calculation gives 30.13 kcal/mol of atoms.

a = 5.813 Å, b = 5.813 Å, c = 5.813 Å
α = 90.00°, β = 90.00°, γ = 90.00°
Space group Pa-3 (No. 205)
Unique sites:
1 Cu 0.119 0.119 0.119
2 Tc 0.000 0.000 0.500

***

3.
First-principles (PBE) data for Cu5Tc after structural relaxation, as listed in the Alexandria database.

Values from the calculation:
For the energy above the most stable polymorph in this dataset, the calculation gives 0.1599 eV/atom. For the formation energy from the elements, the calculation gives 7.41 kcal/mol of atoms.

a = 6.738 Å, b = 6.738 Å, c = 6.738 Å
α = 90.00°, β = 90.00°, γ = 90.00°
Space group F-43m (No. 216)
Unique sites:
1 Cu 0.000 0.000 0.000
2 Cu 0.125 0.125 0.625
3 Tc 0.250 0.250 0.250

***

4.
First-principles (PBE) data for CuTc3 after structural relaxation, as listed in the Alexandria database.

Values from the calculation:
For the energy above the most stable polymorph in this dataset, the calculation gives 0.0910 eV/atom. For the formation energy from the elements, the calculation gives 4.30 kcal/mol of atoms.

a = 2.730 Å, b = 2.730 Å, c = 7.547 Å
α = 90.00°, β = 90.00°, γ = 90.00°
Space group P4/mmm (No. 123)
Unique sites:
1 Cu 0.000 0.000 0.000
2 Tc 0.000 0.000 0.500
3 Tc 0.500 0.500 0.247

***

5.
First-principles (PBE) data for Cu4Tc5 after structural relaxation, as listed in the Alexandria database.

Values from the calculation:
For the energy above the most stable polymorph in this dataset, the calculation gives 0.0000 eV/atom. For the formation energy from the elements, the calculation gives 3.81 kcal/mol of atoms.

a = 8.054 Å, b = 8.054 Å, c = 3.736 Å
α = 90.00°, β = 90.00°, γ = 90.00°
Space group I4/mmm (No. 139)
Unique sites:
1 Cu 0.000 0.337 0.000
2 Tc 0.000 0.000 0.000
3 Tc 0.166 0.166 0.500

***

6.
First-principles (PBE) data for Cu3Tc4 after structural relaxation, as listed in the Alexandria database.

Values from the calculation:
For the formation energy from the elements, the calculation gives 4.92 kcal/mol of atoms.

a = 4.6896 Å, b = 4.6896 Å, c = 4.9047 Å
α = 90.00°, β = 90.00°, γ = 120.00°
Space group P6/mmm (No. 191)
Unique sites:
1 Cu 0.0000 0.5000 0.0000
2 Tc 0.0000 0.0000 0.2587
3 Tc 0.3333 0.6667 0.5000

***

7.
First-principles (PBE) data for CuTc3 after structural relaxation, as listed in the Alexandria database.

Values from the calculation:
For the energy above the most stable polymorph in this dataset, the calculation gives 0.2031 eV/atom. For the formation energy from the elements, the calculation gives 6.89 kcal/mol of atoms.

a = 2.885 Å, b = 4.416 Å, c = 9.006 Å
α = 90.00°, β = 90.00°, γ = 90.00°
Space group Cmmm (No. 65)
Unique sites:
1 Cu 0.000 0.000 0.000
2 Tc 0.000 0.000 0.500
3 Tc 0.000 0.500 0.250

***

8.
First-principles (PBE) data for CuTc3 after structural relaxation, as listed in the Alexandria database.

Values from the calculation:
For the energy above the most stable polymorph in this dataset, the calculation gives 0.1159 eV/atom. For the formation energy from the elements, the calculation gives 4.88 kcal/mol of atoms.

a = 3.819 Å, b = 3.819 Å, c = 3.819 Å
α = 90.00°, β = 90.00°, γ = 90.00°
Space group Pm-3m (No. 221)
Unique sites:
1 Cu 0.000 0.000 0.000
2 Tc 0.000 0.500 0.500

***

9.
First-principles (PBE) data for Cu2Tc after structural relaxation, as listed in the Alexandria database.

Values from the calculation:
For the energy above the most stable polymorph in this dataset, the calculation gives 0.2594 eV/atom. For the formation energy from the elements, the calculation gives 9.53 kcal/mol of atoms.

a = 7.4615 Å, b = 7.4615 Å, c = 2.4684 Å
α = 90.00°, β = 90.00°, γ = 120.00°
Space group P-62m (No. 189)
Unique sites:
1 Cu 0.0000 0.3096 0.0000
2 Cu 0.0000 0.6413 0.5000
3 Tc 0.0000 0.0000 0.5000
4 Tc 0.3333 0.6667 0.0000

***

10.
First-principles (PBE) data for Cu2Tc after structural relaxation, as listed in the Alexandria database.

Values from the calculation:
For the energy above the most stable polymorph in this dataset, the calculation gives 0.0681 eV/atom. For the formation energy from the elements, the calculation gives 5.11 kcal/mol of atoms.

a = 5.337 Å, b = 3.695 Å, c = 8.001 Å
α = 90.00°, β = 90.00°, γ = 90.00°
Space group Pnma (No. 62)
Unique sites:
1 Cu 0.105 0.250 0.090
2 Cu 0.132 0.250 0.757
3 Tc 0.102 0.250 0.430

***

11.
First-principles (PBE) data for Cu2Tc after structural relaxation, as listed in the Alexandria database.

Values from the calculation:
For the energy above the most stable polymorph in this dataset, the calculation gives 0.0826 eV/atom. For the formation energy from the elements, the calculation gives 5.45 kcal/mol of atoms.

a = 3.802 Å, b = 3.802 Å, c = 21.803 Å
α = 90.00°, β = 90.00°, γ = 90.00°
Space group I4_1/amd (No. 141, origin choice 2)
Unique sites:
1 Cu 0.000 0.250 0.123
2 Cu 0.000 0.250 0.796
3 Tc 0.000 0.250 0.285

***

12.
First-principles (PBE) data for Cu2Tc after structural relaxation, as listed in the Alexandria database.

Values from the calculation:
For the energy above the most stable polymorph in this dataset, the calculation gives 0.5316 eV/atom. For the formation energy from the elements, the calculation gives 15.80 kcal/mol of atoms.

a = 4.534 Å, b = 4.534 Å, c = 2.473 Å
α = 90.00°, β = 90.00°, γ = 90.00°
Space group P4/mmm (No. 123)
Unique sites:
1 Cu 0.000 0.500 0.000
2 Tc 0.000 0.000 0.500

***

Number 1: raw total energy -5.9923 eV/atom, ρ 9.52 g cm⁻³. Number 2: raw total energy -4.8797 eV/atom, ρ 7.61 g cm⁻³. Number 3: raw total energy -4.8198 eV/atom, ρ 9.03 g cm⁻³. Number 4: raw total energy -8.6119 eV/atom, ρ 10.56 g cm⁻³. Number 5: raw total energy -7.4141 eV/atom, ρ 10.20 g cm⁻³. Number 6: raw total energy -7.4654 eV/atom, ρ 10.36 g cm⁻³. Number 7: raw total energy -8.4998 eV/atom, ρ 10.35 g cm⁻³. Number 8: raw total energy -8.5870 eV/atom, ρ 10.66 g cm⁻³. Number 9: raw total energy -5.7730 eV/atom, ρ 9.42 g cm⁻³. Number 10: raw total energy -5.9643 eV/atom, ρ 9.48 g cm⁻³. Number 11: raw total energy -5.9498 eV/atom, ρ 9.49 g cm⁻³. Number 12: raw total energy -5.5008 eV/atom, ρ 7.35 g cm⁻³.